[1]
# Y3Zn7Ga4, optimized geometry, DFT PBE-GGA
data_Y3Zn7Ga4
_chemical_formula_sum 'Y6 Zn14 Ga8'
_space_group_name_H-M_alt 'C 1 2/m 1'
_space_group_IT_number 12
_cell_length_a 15.739
_cell_length_b 4.273
_cell_length_c 9.474
_cell_angle_alpha 90.00
_cell_angle_beta 126.78
_cell_angle_gamma 90.00
loop_
_space_group_symop_operation_xyz
'x,y,z'
'-x,-y,-z'
'-x,y,-z'
'x,-y,z'
'x+1/2,y+1/2,z'
'-x+1/2,-y+1/2,-z'
'-x+1/2,y+1/2,-z'
'x+1/2,-y+1/2,z'
loop_
_atom_site_label
_atom_site_type_symbol
_atom_site_fract_x
_atom_site_fract_y
_atom_site_fract_z
Y1 Y 0.000 0.000 0.000
Y2 Y 0.200 0.500 0.701
Zn1 Zn 0.000 0.000 0.500
Zn2 Zn 0.002 0.500 0.313
Zn3 Zn 0.145 0.000 0.423
Zn4 Zn 0.155 0.500 0.018
Ga1 Ga 0.142 0.000 0.861
Ga2 Ga 0.154 0.500 0.283
# energy relative to the elements = -441 meV/atom
# final energy = -3.33 eV per atom
# density of states at the Fermi level = 0.283 states/eV per atom
# ρ = 6.530 g cm⁻³

=====

[2]
# Y4ZnGa12, optimized geometry, DFT PBE-GGA
data_Y4ZnGa12
_chemical_formula_sum 'Y8 Zn2 Ga24'
_space_group_name_H-M_alt 'I m -3 m'
_space_group_IT_number 229
_space_group_name_Hall '-I 4 2 3'
_cell_length_a 8.708
_cell_length_b 8.708
_cell_length_c 8.708
_cell_angle_alpha 90.00
_cell_angle_beta 90.00
_cell_angle_gamma 90.00
loop_
_atom_site_label
_atom_site_type_symbol
_atom_site_fract_x
_atom_site_fract_y
_atom_site_fract_z
Y1 Y 0.250 0.250 0.250
Zn1 Zn 0.000 0.000 0.000
Ga1 Ga 0.000 0.000 0.302
Ga2 Ga 0.000 0.250 0.500
# energy relative to the elements = -493 meV/atom
# final energy = -4.23 eV per atom
# density of states at the Fermi level = 0.457 states/eV per atom
# ρ = 6.327 g cm⁻³

=====

[3]
# YZnGa, optimized geometry, DFT PBE-GGA
data_YZnGa
_chemical_formula_sum 'Y2 Zn2 Ga2'
_space_group_name_H-M_alt 'P 1'
_space_group_IT_number 1
_cell_length_a 3.973
_cell_length_b 5.815
_cell_length_c 6.431
_cell_angle_alpha 116.42
_cell_angle_beta 107.95
_cell_angle_gamma 90.10
loop_
_space_group_symop_operation_xyz
'x,y,z'
loop_
_atom_site_label
_atom_site_type_symbol
_atom_site_fract_x
_atom_site_fract_y
_atom_site_fract_z
Y1 Y 0.000 0.000 0.000
Y2 Y 0.372 0.371 0.745
Zn1 Zn 0.070 0.567 0.140
Zn2 Zn 0.685 0.438 0.369
Ga1 Ga 0.304 0.802 0.607
Ga2 Ga 0.687 0.938 0.373
# energy relative to the elements = -447 meV/atom
# final energy = -4.04 eV per atom
# density of states at the Fermi level = 0.416 states/eV per atom
# ρ = 5.956 g cm⁻³

=====

Q: Look up the ρ of the first one.
A: 6.530 g cm⁻³

=====

Q: ρ of number 3 (YZnGa)?
A: 5.956 g cm⁻³

=====

Q: What is the formula in the second record?
A: Y4ZnGa12

=====

Q: What is the density of states at the Fermi level in the third record?
A: 0.416 states/eV per atom